Ge2Mo2Pt (PBE, relaxed); SG = P4/mbm; crystal system = tetragonal; total magnetic moment = 0.000 μB per formula unit; total DFT energy (no corrections) = -73.558 eV for the cell shown; DFT formation energy = 0.032 eV/atom; calculated volume = 15.68 Å³ per atom
1.0
6.379 0.000 0.000
0.000 6.379 0.000
0.000 0.000 3.854
Ge Mo Pt
4 4 2
Cartesian
0.863 2.326 0.000 Ge
2.326 5.516 0.000 Ge
4.053 0.863 0.000 Ge
5.516 4.053 0.000 Ge
1.104 4.293 1.927 Mo
2.086 1.104 1.927 Mo
4.293 5.275 1.927 Mo
5.275 2.086 1.927 Mo
0.000 0.000 0.000 Pt
3.190 3.190 0.000 Pt